[1]
Entry from Alexandria: crystalline Sm4In3Cu at its relaxed geometry (PBE).

It has space group P4/mmm (No. 123), with a = 3.6029 Å, b = 3.6029 Å, c = 16.4562 Å, α = 90.00°, β = 90.00° and γ = 90.00°. The asymmetric unit holds Sm at (0.0000, 0.0000, 0.1063), Sm at (0.0000, 0.0000, 0.3689), In at (0.5000, 0.5000, 0.2368), In at (0.5000, 0.5000, 0.5000) and Cu at (0.5000, 0.5000, 0.0000).

The value obtained for the uncorrected energy is -4.31 eV/atom. The formation energy comes out at -9.4 kcal/mol of atoms. Its spin magnetization is 0.00 Bohr magnetons per cell.


[2]
Entry from Alexandria: crystalline UTiSn2 at its relaxed geometry (PBE).

It has space group R-3m (No. 166, hexagonal axes), with a = 3.1087 Å, b = 3.1087 Å, c = 33.4887 Å, α = 90.00°, β = 90.00° and γ = 120.00°. The asymmetric unit holds U at (0.0000, 0.0000, 0.0000), Ti at (0.0000, 0.0000, 0.5000) and Sn at (0.0000, 0.0000, 0.0955).

The value obtained for the uncorrected energy is -6.60 eV/atom. The formation energy comes out at 4.6 kcal/mol of atoms. The calculation puts the offset from the most stable computed form at 213.7 meV per atom. Its spin magnetization is 8.32 Bohr magnetons per cell.


[3]
Entry from Alexandria: crystalline Pu3CN5 at its relaxed geometry (PBE).

It has space group I4/mcm (No. 140), with a = 6.4094 Å, b = 6.4094 Å, c = 10.1664 Å, α = 90.00°, β = 90.00° and γ = 90.00°. The asymmetric unit holds Pu at (0.0000, 0.0000, 0.2500), Pu at (0.1842, 0.3158, 0.0000), C at (0.0000, 0.5000, 0.2500), N at (0.0000, 0.0000, 0.0000) and N at (0.1278, 0.3722, 0.3432).

The value obtained for the uncorrected energy is -11.08 eV/atom. The raw formation energy is -653 meV per atom. Its spin magnetization is 13.90 Bohr magnetons per cell.


[4]
Entry from Alexandria: crystalline AsINF2 at its relaxed geometry (PBE).

It has space group P4/mmm (No. 123), with a = 4.7614 Å, b = 4.7614 Å, c = 4.0809 Å, α = 90.00°, β = 90.00° and γ = 90.00°. The asymmetric unit holds As at (0.0000, 0.0000, 0.0000), I at (0.5000, 0.5000, 0.5000), N at (0.5000, 0.5000, 0.0000) and F at (0.0000, 0.5000, 0.5000).

The value obtained for the uncorrected energy is -3.03 eV/atom. The raw formation energy is 621 meV per atom. The calculation puts the offset from the most stable computed form at 756.8 meV per atom. Its spin magnetization is 2.20 Bohr magnetons per cell.


[5]
Entry from Alexandria: crystalline ThNbRe at its relaxed geometry (PBE).

It has space group R3 (No. 146, hexagonal axes), with a = 6.5859 Å, b = 6.5859 Å, c = 17.3270 Å, α = 90.00°, β = 90.00° and γ = 120.00°. The asymmetric unit holds Th at (0.0165, 0.3663, 0.0000), Nb at (0.0775, 0.6920, 0.8346), Re at (0.0000, 0.0000, 0.4916), Re at (0.0000, 0.0000, 0.7607) and Re at (0.0000, 0.0000, 0.9143).

The value obtained for the uncorrected energy is -9.49 eV/atom. The formation energy comes out at 11.3 kcal/mol of atoms. The calculation puts the offset from the most stable computed form at 381.3 meV per atom. Its spin magnetization is 0.00 Bohr magnetons per cell.


[6]
Entry from Alexandria: crystalline NpMnTcRh at its relaxed geometry (PBE).

It has space group F-43m (No. 216), with a = 6.4537 Å, b = 6.4537 Å, c = 6.4537 Å, α = 90.00°, β = 90.00° and γ = 90.00°. The asymmetric unit holds Np at (0.0000, 0.0000, 0.0000), Mn at (0.0000, 0.0000, 0.5000), Tc at (0.2500, 0.2500, 0.7500) and Rh at (0.2500, 0.2500, 0.2500).

The value obtained for the uncorrected energy is -9.95 eV/atom. The formation energy comes out at 0.3 kcal/mol of atoms. Its spin magnetization is 27.36 Bohr magnetons per cell.


[7]
Entry from Alexandria: crystalline Ce2DyCd at its relaxed geometry (PBE).

It has space group P4/mmm (No. 123), with a = 4.5868 Å, b = 4.5868 Å, c = 5.2015 Å, α = 90.00°, β = 90.00° and γ = 90.00°. The asymmetric unit holds Ce at (0.0000, 0.5000, 0.0000), Dy at (0.0000, 0.0000, 0.5000) and Cd at (0.5000, 0.5000, 0.5000).

The value obtained for the uncorrected energy is -4.37 eV/atom. The formation energy comes out at -0.6 kcal/mol of atoms. The calculation puts the offset from the most stable computed form at 0.0 meV per atom. Its spin magnetization is 1.56 Bohr magnetons per cell.


[8]
Entry from Alexandria: crystalline TiGaNi at its relaxed geometry (PBE).

It has space group P-62m (No. 189), with a = 6.8379 Å, b = 6.8379 Å, c = 3.1044 Å, α = 90.00°, β = 90.00° and γ = 120.00°. The asymmetric unit holds Ti at (0.0000, 0.6089, 0.0000), Ga at (0.0000, 0.2749, 0.5000), Ni at (0.0000, 0.0000, 0.0000) and Ni at (0.3333, 0.6667, 0.5000).

The value obtained for the uncorrected energy is -6.12 eV/atom. The formation energy comes out at -12.7 kcal/mol of atoms. Its spin magnetization is 0.00 Bohr magnetons per cell.


no.,D(E_F) (states/eV/atom)
1,0.755
2,2.112
3,2.048
4,0.749
5,1.089
6,2.060
7,2.889
8,0.499